VASP calculation (PBE with a Hubbard U) on a relaxed Li3Ti4MnO12 crystal.

Computed properties:
The crystal system is triclinic. The raw total energy comes out at -7.667 eV per atom.

Geometry as extended XYZ:
```
20
Lattice="-0.658 -4.007 -2.988 1.149 -3.301 4.189 -7.352 0.292 1.252" Properties=species:S:1:pos:R:3 pbc="T T T"
Li -1.807 -2.146 -0.964
Li -1.617 -5.844 -0.294
Li -5.561 -1.957 -0.374
Ti -0.102 -0.036 0.032
Ti -3.369 -3.414 1.158
Ti -4.253 -3.854 -2.276
Ti 0.179 -3.702 0.523
Mn -4.452 -1.811 3.430
O -3.649 -3.530 3.098
O -0.917 -3.581 3.990
O -7.068 -1.514 0.887
O -4.134 -1.530 1.509
O -0.792 -4.133 -1.139
O -1.620 -2.999 1.167
O -5.518 -4.003 0.921
O -6.209 -2.560 3.306
O -3.260 -5.319 0.860
O -0.169 -5.324 1.269
O -5.114 -6.387 2.259
O -3.645 -3.018 -0.773
```